No. 1
The following is a GGA-PBE calculation of RbLi2NpF8 after structural relaxation, from Alexandria via LeMat-Bulk.

As for the crystal system: trigonal. The calculation puts the uncorrected formation energy at -35.613 eV per formula unit. Its calculated density is 3.7 g/cm³. The calculation puts the total energy at -205.0 eV for the cell shown. As for the density of states at the Fermi level: 38.78 states/eV per cell.

```
data_RbLi2NpF8
_chemical_formula_sum 'Rb3 Li6 Np3 F24'
_symmetry_space_group_name_H-M 'R -3 m'
_symmetry_Int_Tables_number 166
_symmetry_space_group_name_Hall '-R 3 2"'
_cell_length_a 5.6809
_cell_length_b 5.6809
_cell_length_c 23.2344
_cell_angle_alpha 90.00
_cell_angle_beta 90.00
_cell_angle_gamma 120.00
loop_
_atom_site_label
_atom_site_type_symbol
_atom_site_fract_x
_atom_site_fract_y
_atom_site_fract_z
_atom_site_occupancy
Rb1 Rb 0.0000 0.0000 0.0000 1
Li1 Li 0.0000 0.0000 0.2666 1
Np1 Np 0.0000 0.0000 0.5000 1
F1 F 0.0000 0.0000 0.3412 1
F2 F 0.0128 0.5064 0.8845 1
```

No. 2
The following is a GGA-PBE calculation of RbLiTlPb2 after structural relaxation, from Alexandria via LeMat-Bulk.

As for the crystal system: tetragonal. Its calculated density is 7.3 g/cm³. The calculation puts the total energy at -12.8 eV for the cell shown. As for the density of states at the Fermi level: 2.17 states/eV per cell.

```
data_RbLiTlPb2
_chemical_formula_sum 'Rb1 Li1 Tl1 Pb2'
_symmetry_space_group_name_H-M 'P 4/m m m'
_symmetry_Int_Tables_number 123
_symmetry_space_group_name_Hall '-P 4 2'
_cell_length_a 5.371
_cell_length_b 5.371
_cell_length_c 5.630
_cell_angle_alpha 90.00
_cell_angle_beta 90.00
_cell_angle_gamma 90.00
loop_
_atom_site_label
_atom_site_type_symbol
_atom_site_fract_x
_atom_site_fract_y
_atom_site_fract_z
_atom_site_occupancy
Rb1 Rb 0.000 0.000 0.000 1
Li1 Li 0.500 0.500 0.500 1
Tl1 Tl 0.500 0.500 0.000 1
Pb1 Pb 0.000 0.500 0.500 1
```

No. 3
The following is a GGA-PBE calculation of IrPt2BrO after structural relaxation, from Alexandria via LeMat-Bulk.

As for the crystal system: tetragonal. The calculation puts the uncorrected formation energy at 4.958 eV per formula unit. Its calculated density is 12.9 g/cm³. The calculation puts the total energy at -22.6 eV for the cell shown. As for the density of states at the Fermi level: 6.11 states/eV per cell.

```
data_IrPt2BrO
_chemical_formula_sum 'Ir1 Pt2 Br1 O1'
_symmetry_space_group_name_H-M 'P 4/m m m'
_symmetry_Int_Tables_number 123
_symmetry_space_group_name_Hall '-P 4 2'
_cell_length_a 3.956
_cell_length_b 3.956
_cell_length_c 5.573
_cell_angle_alpha 90.00
_cell_angle_beta 90.00
_cell_angle_gamma 90.00
loop_
_atom_site_label
_atom_site_type_symbol
_atom_site_fract_x
_atom_site_fract_y
_atom_site_fract_z
_atom_site_occupancy
Ir1 Ir 0.000 0.000 0.000 1
Pt1 Pt 0.000 0.500 0.500 1
Br1 Br 0.500 0.500 0.000 1
O1 O 0.500 0.500 0.500 1
```

No. 4
The following is a GGA-PBE calculation of Tb6DyTm2Mg after structural relaxation, from Alexandria via LeMat-Bulk.

As for the crystal system: monoclinic. Its calculated density is 7.9 g/cm³. The calculation puts the total energy at -166.7 eV for the cell shown. As for the density of states at the Fermi level: 51.13 states/eV per cell.

```
data_Tb6DyTm2Mg
_chemical_formula_sum 'Tb24 Dy4 Tm8 Mg4'
_symmetry_space_group_name_H-M 'C 1 2/c 1'
_symmetry_Int_Tables_number 15
_cell_length_a 9.084
_cell_length_b 14.626
_cell_length_c 9.483
_cell_angle_alpha 90.00
_cell_angle_beta 98.24
_cell_angle_gamma 90.00
loop_
_symmetry_equiv_pos_as_xyz
'x,y,z'
'-x,-y,-z'
'-x,y,-z+1/2'
'x,-y,z+1/2'
'x+1/2,y+1/2,z'
'-x+1/2,-y+1/2,-z'
'-x+1/2,y+1/2,-z+1/2'
'x+1/2,-y+1/2,z+1/2'
loop_
_atom_site_label
_atom_site_type_symbol
_atom_site_fract_x
_atom_site_fract_y
_atom_site_fract_z
_atom_site_occupancy
Tb1 Tb 0.062 0.182 0.448 1
Tb2 Tb 0.099 0.397 0.613 1
Tb3 Tb 0.214 0.221 0.812 1
Dy1 Dy 0.000 0.021 0.750 1
Tm1 Tm 0.249 0.050 0.052 1
Mg1 Mg 0.000 0.406 0.250 1
```

No. 5
The following is a GGA-PBE calculation of SrNiAu11 after structural relaxation, from Alexandria via LeMat-Bulk.

As for the crystal system: monoclinic. Its calculated density is 15.2 g/cm³. The calculation puts the total energy at -91.7 eV for the cell shown. As for the density of states at the Fermi level: 9.81 states/eV per cell.

```
data_SrNiAu11
_chemical_formula_sum 'Sr2 Ni2 Au22'
_symmetry_space_group_name_H-M 'C 1 2/m 1'
_symmetry_Int_Tables_number 12
_cell_length_a 5.595
_cell_length_b 13.436
_cell_length_c 7.277
_cell_angle_alpha 90.00
_cell_angle_beta 112.56
_cell_angle_gamma 90.00
loop_
_symmetry_equiv_pos_as_xyz
'x,y,z'
'-x,-y,-z'
'-x,y,-z'
'x,-y,z'
'x+1/2,y+1/2,z'
'-x+1/2,-y+1/2,-z'
'-x+1/2,y+1/2,-z'
'x+1/2,-y+1/2,z'
loop_
_atom_site_label
_atom_site_type_symbol
_atom_site_fract_x
_atom_site_fract_y
_atom_site_fract_z
_atom_site_occupancy
Sr1 Sr 0.000 0.000 0.000 1
Ni1 Ni 0.000 0.500 0.500 1
Au1 Au 0.000 0.000 0.500 1
Au2 Au 0.100 0.394 0.221 1
Au3 Au 0.198 0.169 0.357 1
Au4 Au 0.250 0.250 0.000 1
```

No. 6
The following is a GGA-PBE calculation of TmThAlTl after structural relaxation, from Alexandria via LeMat-Bulk.

As for the crystal system: cubic. Its calculated density is 9.9 g/cm³. The calculation puts the total energy at -74.9 eV for the cell shown. As for the density of states at the Fermi level: 17.69 states/eV per cell.

```
data_TmThAlTl
_chemical_formula_sum 'Tm4 Th4 Al4 Tl4'
_symmetry_space_group_name_H-M 'F -4 3 m'
_symmetry_Int_Tables_number 216
_symmetry_space_group_name_Hall 'F -4 2 3'
_cell_length_a 7.514
_cell_length_b 7.514
_cell_length_c 7.514
_cell_angle_alpha 90.00
_cell_angle_beta 90.00
_cell_angle_gamma 90.00
loop_
_atom_site_label
_atom_site_type_symbol
_atom_site_fract_x
_atom_site_fract_y
_atom_site_fract_z
_atom_site_occupancy
Tm1 Tm 0.000 0.000 0.000 1
Th1 Th 0.000 0.000 0.500 1
Al1 Al 0.250 0.250 0.750 1
Tl1 Tl 0.250 0.250 0.250 1
```